Below is a relaxed structure of LiCa2Fe2, with properties calculated at the PBE level.

Lattice parameters (Å, degrees): 7.3999 7.3999 4.2626 90.00 90.00 90.00
Closest atoms and distances in Å follow each position.
Fractional coordinates of all 10 atoms:
1 Li 0.0000 0.0000 0.0000  4 Fe 3.04
2 Li 0.5000 0.5000 0.0000  4 Fe 3.04
3 Ca 0.1797 0.3203 0.5000  6 Fe 3.04-3.12
4 Ca 0.3203 0.8203 0.5000  6 Fe 3.04-3.12
5 Ca 0.6797 0.1797 0.5000  6 Fe 3.04-3.12
6 Ca 0.8203 0.6797 0.5000  6 Fe 3.04-3.12
7 Fe 0.1022 0.6022 0.0000  1 Fe 2.14
8 Fe 0.3978 0.1022 0.0000  1 Fe 2.14
9 Fe 0.6022 0.8978 0.0000  1 Fe 2.14
10 Fe 0.8978 0.3978 0.0000  1 Fe 2.14

## Properties
Total DFT energy (no corrections), eV per atom: -4.1699
E_form, eV/atom: 0.399
Space-group type: No. 127